First-principles (GGA-PBE) data for CoAg2Mo after structural relaxation, as listed in Alexandria.

Structure (extended XYZ):
```
4
Lattice="2.747 0.000 0.000 0.000 4.648 0.000 0.000 0.000 4.945" Properties=species:S:1:pos:R:3 pbc="T T T"
Ag 0.000 0.000 0.000
Ag 1.374 2.324 0.000
Co 1.374 0.000 2.473
Mo 0.000 2.324 2.473
```

Computed properties:
space-group type = Pmmm
electronic total energy = -5.32 eV per atom
density of states at the Fermi level = 3.61 states/eV/cell
formation energy = 0.59 eV per atom